# HfZrFe2O6

A relaxed HfZrFe2O6 crystal (PBE+U, Alexandria).

Calculated volume = 12.18 Å³/atom
DOS at the Fermi energy = 0.000 states/eV/f.u.
Space group = No. 1
E_tot = -8.542 eV/atom
Size of the total moment = 8.0 Bohr magnetons per cell

abc: 5.385 5.387 5.722
angles: 62.57 62.43 60.25
Atoms (fractional coordinates):
Hf  0.000  0.000  0.000
Zr  0.496  0.507  0.496
Fe  0.289  0.301  0.123
Fe  0.795  0.792  0.629
O  0.110  0.376  0.812
O  0.209  0.889  0.296
O  0.378  0.717  0.800
O  0.599  0.224  0.287
O  0.724  0.100  0.792
O  0.877  0.618  0.309